A relaxed Tb7Ga2Pt2 crystal. Source: the Alexandria database, functional GGA-PBE.

Final energy = -56.60 eV per cell
Size of the total moment = 0.000 μB/atom
Symmetry = No. 65
Crystal system = orthorhombic

a b c (Å): 6.7617 6.7617 7.0254
angles (deg): 90.00 90.00 107.67
Positions (direct):
Tb: 0.0000 0.0000 0.0000
Tb: 0.0000 0.5000 0.2627
Tb: 0.0000 0.5000 0.7373
Tb: 0.5000 0.0000 0.2627
Tb: 0.5000 0.0000 0.7373
Tb: 0.5000 0.5000 0.2575
Tb: 0.5000 0.5000 0.7425
Ga: 0.1647 0.1647 0.5000
Ga: 0.8353 0.8353 0.5000
Pt: 0.2907 0.7093 0.0000
Pt: 0.7093 0.2907 0.0000